[1]
# CsGaH2F8

CsGaH2F8 after structural relaxation (PBE, Alexandria via LeMat-Bulk).

POSCAR file:
```
CsGaH2F8
1.0
-2.1439 -1.1416 3.9822
-1.5024 -4.4047 0.3101
6.8713 -3.0767 3.9336
F Ga H Cs
8 1 2 1
Cartesian
3.9245 -6.1968 4.6420
4.0767 -7.3190 7.2158
2.8570 -3.2245 3.3642
-0.4019 -3.9395 1.8810
0.3681 -5.3986 4.8617
-0.8516 -1.3040 1.0101
-0.6994 -2.4262 3.5839
3.6270 -4.6836 6.3450
0.0000 0.0000 0.0000
3.8465 -5.4579 5.5216
-0.6214 -3.1652 2.7044
3.4357 -1.5384 1.9668
```



[2]
# Cs2HfGaF

Cs2HfGaF after structural relaxation (PBE, Alexandria via LeMat-Bulk).

POSCAR file:
```
Cs2HfGaF
1.0
5.3262 0.0000 0.0000
0.0000 6.4954 0.0000
0.0000 0.0000 5.3262
Hf Cs F Ga
1 2 1 1
Cartesian
2.6631 3.2477 2.6631
0.0000 0.0000 2.6631
2.6631 0.0000 0.0000
0.0000 0.0000 0.0000
0.0000 3.2477 0.0000
```

Properties
The raw formation energy comes out at 0.06 eV per atom.



[3]
# Cs2Ga2HgF6

Cs2Ga2HgF6 after structural relaxation (PBE, Alexandria via LeMat-Bulk).

POSCAR file:
```
Cs2Ga2HgF6
1.0
7.8634 0.4372 0.0278
4.3037 6.7203 -0.0727
-0.2311 -3.6957 6.9211
F Ga Cs Hg
6 2 2 1
Cartesian
10.1443 1.7722 6.0946
3.5883 3.3635 4.3414
6.9036 2.4004 1.4210
8.3478 0.0983 2.5347
1.7918 1.6896 0.7816
5.0325 1.0614 5.4552
3.7988 2.3692 5.8792
8.1374 1.0926 0.9969
4.1177 3.2489 1.5020
7.8184 0.2129 5.3741
3.8162 -1.6293 3.4744
```

Properties
The raw formation energy comes out at -2.33 eV per atom.



[4]
# CsIn2GaF6

CsIn2GaF6 after structural relaxation (PBE, Alexandria via LeMat-Bulk).

POSCAR file:
```
CsIn2GaF6
1.0
-2.6671 -2.8985 -6.0976
3.8412 -0.8246 -6.1468
1.7507 -5.7029 -2.9630
F In Ga Cs
6 2 1 1
Cartesian
2.5561 -6.2032 -8.6506
0.1182 -2.4407 -2.3592
2.2931 -2.1252 -3.8700
0.3811 -6.5194 -7.1429
2.6150 -5.5230 -6.0946
0.0578 -3.1216 -4.9145
1.3804 -4.4302 -3.1280
1.2922 -4.2155 -7.8837
0.4617 -1.4708 -4.0235
1.9239 -6.1840 -11.6270
```

Properties
The raw formation energy comes out at -2.31 eV per atom.



Number 1: raw total energy -46.82 eV per cell. Number 2: raw total energy -16.28 eV per cell. Number 3: raw total energy -44.95 eV per cell. Number 4: raw total energy -43.72 eV per cell.